Compound: NaFeCuN
Source: Alexandria via LeMat-Bulk
Functional: GGA-PBE
Structure: relaxed Values from VASP.

```
&SYSTEM
  ibrav = 0, nat = 8, ntyp = 4
/
ATOMIC_SPECIES
Na 22.99 Na.upf
Fe 55.84 Fe.upf
Cu 63.55 Cu.upf
N 14.01 N.upf
CELL_PARAMETERS angstrom
-1.989 -2.183 1.583
0.661 -2.302 -2.344
7.979 -3.294 5.485
ATOMIC_POSITIONS crystal
Na 0.750 0.750 0.251
Na 0.250 0.250 0.749
Fe 0.750 0.250 0.000
Fe 0.250 0.750 0.000
Cu 0.250 0.750 0.500
Cu 0.750 0.250 0.500
N 0.750 0.750 0.911
N 0.250 0.250 0.089
```

Computed properties:
Calculated volume = 14.35 Å³/atom


Compound: BeCo2H
Source: Alexandria via LeMat-Bulk
Functional: GGA-PBE
Structure: relaxed Values from VASP.

```
&SYSTEM
  ibrav = 0, nat = 8, ntyp = 3
/
ATOMIC_SPECIES
Be 9.01 Be.upf
Co 58.93 Co.upf
H 1.01 H.upf
CELL_PARAMETERS angstrom
5.157 0.000 0.000
0.000 5.157 0.000
2.579 2.579 2.398
ATOMIC_POSITIONS crystal
Be 0.000 0.000 0.000
Be 0.750 0.250 0.500
Co 0.551 0.125 0.250
Co 0.199 0.625 0.250
Co 0.375 0.449 0.750
Co 0.875 0.801 0.750
H 0.500 0.500 0.000
H 0.250 0.750 0.500
```

Computed properties:
Calculated volume = 7.97 Å³/atom
Energy relative to the lowest polymorph listed for this composition = 154 meV/atom


Compound: Sc2CoNiH
Source: Alexandria via LeMat-Bulk
Functional: GGA-PBE
Structure: relaxed Values from VASP.

```
&SYSTEM
  ibrav = 0, nat = 5, ntyp = 4
/
ATOMIC_SPECIES
Sc 44.96 Sc.upf
Ni 58.69 Ni.upf
Co 58.93 Co.upf
H 1.01 H.upf
CELL_PARAMETERS angstrom
-4.127 -1.643 -0.089
1.634 -4.120 0.308
-0.145 0.188 3.284
ATOMIC_POSITIONS crystal
Sc 0.000 0.500 0.000
Sc 0.500 0.000 0.000
Ni 0.500 0.500 0.500
Co 0.000 0.000 0.500
H 0.000 0.000 0.000
```

Computed properties:
Calculated volume = 13.00 Å³/atom
Energy relative to the lowest polymorph listed for this composition = 0 meV/atom


Compound: SrYCl2
Source: Alexandria via LeMat-Bulk
Functional: GGA-PBE
Structure: relaxed Values from VASP.

```
&SYSTEM
  ibrav = 0, nat = 4, ntyp = 3
/
ATOMIC_SPECIES
Y 88.91 Y.upf
Sr 87.62 Sr.upf
Cl 35.45 Cl.upf
CELL_PARAMETERS angstrom
3.575 0.000 0.000
0.000 3.575 0.000
0.000 0.000 12.303
ATOMIC_POSITIONS crystal
Y 0.500 0.500 0.750
Sr 0.500 0.500 0.250
Cl 0.000 0.000 0.117
Cl 0.000 0.000 0.383
```

Computed properties:
Calculated volume = 39.30 Å³/atom
Energy relative to the lowest polymorph listed for this composition = 284 meV/atom


Compound: Rb3Cd2BiO6
Source: Alexandria via LeMat-Bulk
Functional: GGA-PBE
Structure: relaxed Values from VASP.

```
&SYSTEM
  ibrav = 0, nat = 12, ntyp = 4
/
ATOMIC_SPECIES
Rb 85.47 Rb.upf
Cd 112.41 Cd.upf
Bi 208.98 Bi.upf
O 16.00 O.upf
CELL_PARAMETERS angstrom
6.070 -0.011 0.008
-3.043 5.252 0.008
-1.002 -1.735 6.454
ATOMIC_POSITIONS crystal
Rb 0.174 0.826 0.500
Rb 0.826 0.174 0.500
Rb 0.500 0.500 0.500
Cd 0.334 0.666 0.000
Cd 0.666 0.334 0.000
Bi 0.000 0.000 0.000
O 0.938 0.633 0.819
O 0.759 0.759 0.187
O 0.062 0.367 0.181
O 0.633 0.938 0.819
O 0.241 0.241 0.813
O 0.367 0.062 0.181
```

Computed properties:
Calculated volume = 17.14 Å³/atom


Compound: YTa2Ag
Source: Alexandria via LeMat-Bulk
Functional: GGA-PBE
Structure: relaxed Values from VASP.

```
&SYSTEM
  ibrav = 0, nat = 4, ntyp = 3
/
ATOMIC_SPECIES
Ag 107.87 Ag.upf
Ta 180.95 Ta.upf
Y 88.91 Y.upf
CELL_PARAMETERS angstrom
-0.747 0.818 2.727
2.672 -0.772 0.965
3.123 8.633 -1.735
ATOMIC_POSITIONS crystal
Ag 0.500 0.500 0.750
Ta 0.000 0.000 0.978
Ta 0.000 0.000 0.522
Y 0.500 0.500 0.250
```

Computed properties:
Calculated volume = 20.24 Å³/atom
Energy of formation = 0.449 eV per atom
Energy relative to the lowest polymorph listed for this composition = 267 meV/atom


Compound: Zn3NiPt
Source: Alexandria via LeMat-Bulk
Functional: GGA-PBE
Structure: relaxed Values from VASP.

```
&SYSTEM
  ibrav = 0, nat = 10, ntyp = 3
/
ATOMIC_SPECIES
Zn 65.41 Zn.upf
Ni 58.69 Ni.upf
Pt 195.08 Pt.upf
CELL_PARAMETERS angstrom
4.332 0.017 1.327
1.132 4.377 0.358
0.127 0.003 7.262
ATOMIC_POSITIONS crystal
Zn 0.155 0.345 0.409
Zn 0.956 0.344 0.806
Zn 0.653 0.845 0.414
Zn 0.758 0.344 0.201
Zn 0.257 0.844 0.206
Zn 0.455 0.844 0.808
Ni 0.352 0.344 0.014
Ni 0.059 0.845 0.601
Pt 0.856 0.844 0.007
Pt 0.555 0.345 0.607
```

Computed properties:
Calculated volume = 13.68 Å³/atom
Energy of formation = -0.346 eV per atom
Energy relative to the lowest polymorph listed for this composition = 0 meV/atom


Compound: CeTm2Si6
Source: Alexandria via LeMat-Bulk
Functional: GGA-PBE
Structure: relaxed Values from VASP.

```
&SYSTEM
  ibrav = 0, nat = 9, ntyp = 3
/
ATOMIC_SPECIES
Ce 140.12 Ce.upf
Tm 168.93 Tm.upf
Si 28.09 Si.upf
CELL_PARAMETERS angstrom
-2.261 3.194 -0.450
-5.554 -3.585 2.465
4.153 3.567 4.450
ATOMIC_POSITIONS crystal
Ce 0.000 0.000 0.000
Tm 0.000 0.333 0.667
Tm 0.000 0.667 0.333
Si 0.500 0.335 0.335
Si 0.500 0.665 0.665
Si 0.500 0.000 0.665
Si 0.500 0.665 0.000
Si 0.500 0.335 0.000
Si 0.500 0.000 0.335
```

Computed properties:
Calculated volume = 18.86 Å³/atom


Compound: K2TmBr5
Source: Alexandria via LeMat-Bulk
Functional: GGA-PBE
Structure: relaxed Values from VASP.

```
&SYSTEM
  ibrav = 0, nat = 8, ntyp = 3
/
ATOMIC_SPECIES
K 39.10 K.upf
Tm 168.93 Tm.upf
Br 79.90 Br.upf
CELL_PARAMETERS angstrom
8.181 0.000 0.000
0.000 8.180 0.000
-4.090 -4.090 5.706
ATOMIC_POSITIONS crystal
K 0.184 0.684 0.368
K 0.684 0.184 0.368
Tm 0.985 0.985 0.970
Br 0.812 0.271 0.083
Br 0.271 0.271 0.084
Br 0.812 0.812 0.083
Br 0.271 0.812 0.084
Br 0.757 0.757 0.514
```

Computed properties:
Calculated volume = 47.74 Å³/atom
Energy relative to the lowest polymorph listed for this composition = 66 meV/atom


Compound: NiSeSN
Source: Alexandria via LeMat-Bulk
Functional: GGA-PBE
Structure: relaxed Values from VASP.

```
&SYSTEM
  ibrav = 0, nat = 4, ntyp = 4
/
ATOMIC_SPECIES
Ni 58.69 Ni.upf
Se 78.96 Se.upf
S 32.06 S.upf
N 14.01 N.upf
CELL_PARAMETERS angstrom
2.871 0.000 0.000
0.002 2.968 0.000
1.415 1.462 8.047
ATOMIC_POSITIONS crystal
Ni 0.666 0.891 0.632
Se 0.282 0.006 0.397
S 0.998 0.722 0.974
N 0.092 0.817 0.782
```

Computed properties:
Calculated volume = 17.14 Å³/atom
Energy relative to the lowest polymorph listed for this composition = 6 meV/atom


Compound: In2AgBi2Au7
Source: Alexandria via LeMat-Bulk
Functional: GGA-PBE
Structure: relaxed Values from VASP.

```
&SYSTEM
  ibrav = 0, nat = 12, ntyp = 4
/
ATOMIC_SPECIES
In 114.82 In.upf
Ag 107.87 Ag.upf
Bi 208.98 Bi.upf
Au 196.97 Au.upf
CELL_PARAMETERS angstrom
4.177 0.018 0.173
0.023 4.177 0.173
2.685 2.682 15.681
ATOMIC_POSITIONS crystal
In 0.704 0.704 0.740
In 0.296 0.296 0.260
Ag 0.000 0.000 0.000
Bi 0.743 0.743 0.389
Bi 0.257 0.257 0.611
Au 0.500 0.500 0.000
Au 0.227 0.227 0.437
Au 0.773 0.773 0.563
Au 0.893 0.392 0.136
Au 0.392 0.893 0.136
Au 0.608 0.107 0.864
Au 0.107 0.608 0.864
```

Computed properties:
Calculated volume = 22.47 Å³/atom
Energy of formation = -0.027 eV per atom


Compound: TlCuHg2Bi
Source: Alexandria via LeMat-Bulk
Functional: GGA-PBE
Structure: relaxed Values from VASP.

```
&SYSTEM
  ibrav = 0, nat = 5, ntyp = 4
/
ATOMIC_SPECIES
Tl 204.38 Tl.upf
Bi 208.98 Bi.upf
Cu 63.55 Cu.upf
Hg 200.59 Hg.upf
CELL_PARAMETERS angstrom
-2.317 2.904 3.558
1.075 -3.531 3.583
4.678 2.470 1.030
ATOMIC_POSITIONS crystal
Tl 0.500 0.500 0.500
Bi 0.000 0.000 0.500
Cu 0.000 0.000 0.000
Hg 0.000 0.500 0.000
Hg 0.500 0.000 0.000
```

Computed properties:
Calculated volume = 28.52 Å³/atom
Energy of formation = 0.150 eV per atom


Number 1: calculated total energy -5.528 eV per atom, theoretical density 4.52 g/cm³. Number 2: calculated total energy -5.235 eV per atom, theoretical density 6.66 g/cm³. Number 3: calculated total energy -6.225 eV per atom, theoretical density 5.33 g/cm³. Number 4: calculated total energy -4.156 eV per atom, theoretical density 2.61 g/cm³. Number 5: calculated total energy -4.377 eV per atom, theoretical density 6.35 g/cm³. Number 6: calculated total energy -7.806 eV per atom, theoretical density 11.46 g/cm³. Number 7: calculated total energy -3.475 eV per atom, theoretical density 10.92 g/cm³. Number 8: calculated total energy -5.823 eV per atom, theoretical density 6.32 g/cm³. Number 9: calculated total energy -3.625 eV per atom, theoretical density 2.81 g/cm³. Number 10: calculated total energy -5.221 eV per atom, theoretical density 4.45 g/cm³. Number 11: calculated total energy -3.279 eV per atom, theoretical density 13.14 g/cm³. Number 12: calculated total energy -2.040 eV per atom, theoretical density 10.22 g/cm³.